DFT (GGA-PBE) results for an optimized crystal structure of LiZrReMo.

Values from the calculation:
Distance to the lowest polymorph of the same formula in meV per atom: 0.0

Cell lengths 6.3779, 6.3779, 6.3779 Å; angles 90.00, 90.00, 90.00 degrees
Last column: nearest neighbours and their distance in Å.
Space group F-43m (No. 216)
Symmetry-distinct sites (fractional):
Li (0.0000, 0.0000, 0.0000) (multiplicity 4)  4 Zr 2.76, 4 Mo 2.76
Zr (0.2500, 0.2500, 0.7500) (multiplicity 4)  4 Re 2.76, 4 Li 2.76
Re (0.0000, 0.0000, 0.5000) (multiplicity 4)  4 Mo 2.76, 4 Zr 2.76
Mo (0.2500, 0.2500, 0.2500) (multiplicity 4)  4 Li 2.76, 4 Re 2.76

DFT (GGA-PBE) results for an optimized crystal structure of Li2Sc2AlPd2Pb.

Values from the calculation:
E in eV per cell: -39.417

Cell lengths 4.5493, 4.5493, 6.6346 Å; angles 90.00, 90.00, 90.00 degrees
Last column: nearest neighbours and their distance in Å.
Space group P-4m2 (No. 115)
Symmetry-distinct sites (fractional):
Li (0.0000, 0.5000, 0.2337) (multiplicity 2)  4 Sc 2.75-2.88, 2 Al 2.75, 2 Pb 2.88, 1 Pd 3.04
Sc (0.0000, 0.0000, 0.0000) (multiplicity 1)  4 Pd 2.72, 4 Li 2.75
Sc (0.5000, 0.5000, 0.5000) (multiplicity 1)  4 Li 2.88, 4 Pd 2.92, 4 Pb 3.22
Al (0.5000, 0.5000, 0.0000) (multiplicity 1)  4 Pd 2.72, 4 Li 2.75
Pd (0.0000, 0.5000, 0.7760) (multiplicity 2)  2 Al 2.72, 4 Sc 2.72-2.92, 2 Pb 2.92, 1 Li 3.04
Pb (0.0000, 0.0000, 0.5000) (multiplicity 1)  4 Li 2.88, 4 Pd 2.92, 4 Sc 3.22

DFT (GGA-PBE) results for an optimized crystal structure of FeNiBPd.

Values from the calculation:
Distance to the lowest polymorph of the same formula in meV per atom: 60.8

Cell lengths 5.6486, 5.6486, 5.6486 Å; angles 90.00, 90.00, 90.00 degrees
Last column: nearest neighbours and their distance in Å.
Space group F-43m (No. 216)
Symmetry-distinct sites (fractional):
Fe (0.0000, 0.0000, 0.0000) (multiplicity 4)  4 Ni 2.45, 4 Pd 2.45
Ni (0.2500, 0.2500, 0.7500) (multiplicity 4)  4 Fe 2.45, 4 B 2.45
B (0.0000, 0.0000, 0.5000) (multiplicity 4)  4 Ni 2.45, 4 Pd 2.45
Pd (0.2500, 0.2500, 0.2500) (multiplicity 4)  4 Fe 2.45, 4 B 2.45

DFT (GGA-PBE) results for an optimized crystal structure of Zr3P3Pd4.

Values from the calculation:
E in eV per cell: -292.046

Cell lengths 16.5253, 3.8545, 10.0735 Å; angles 90.00, 90.00, 90.00 degrees
Last column: nearest neighbours and their distance in Å.
Space group Pnma (No. 62)
Symmetry-distinct sites (fractional):
Zr (0.0482, 0.2500, 0.1166) (multiplicity 4)  5 P 2.70-2.81, 5 Pd 2.95-2.99
Zr (0.0606, 0.7500, 0.5890) (multiplicity 4)  5 P 2.73-2.76, 5 Pd 2.99-3.05
Zr (0.2395, 0.2500, 0.9769) (multiplicity 4)  4 P 2.73-2.83, 3 Pd 2.93-3.03
P (0.0451, 0.7500, 0.3192) (multiplicity 4)  4 Pd 2.45-2.53, 1 Zr 2.73
P (0.1143, 0.7500, 0.9629) (multiplicity 4)  4 Pd 2.48-2.51, 2 Zr 2.70
P (0.1774, 0.2500, 0.6112) (multiplicity 4)  5 Pd 2.44-2.61, 2 Zr 2.73
Pd (0.0813, 0.2500, 0.8173) (multiplicity 4)  4 P 2.48-2.61
Pd (0.1283, 0.2500, 0.3829) (multiplicity 4)  3 P 2.44-2.45
Pd (0.1762, 0.7500, 0.1889) (multiplicity 4)  3 P 2.50-2.54
Pd (0.2063, 0.7500, 0.7645) (multiplicity 4)  3 P 2.51-2.52

DFT (GGA-PBE) results for an optimized crystal structure of TbTmFe.

Values from the calculation:
Distance to the lowest polymorph of the same formula in meV per atom: 0.0
DFT formation energy in meV/atom: 192

Cell lengths 6.5669, 6.5669, 6.5669 Å; angles 90.00, 90.00, 90.00 degrees
Last column: nearest neighbours and their distance in Å.
Space group F-43m (No. 216)
Symmetry-distinct sites (fractional):
Tb (0.0000, 0.0000, 0.0000) (multiplicity 4)  4 Fe 2.84
Tm (0.0000, 0.0000, 0.5000) (multiplicity 4)  4 Fe 2.84
Fe (0.2500, 0.2500, 0.2500) (multiplicity 4)  4 Tb 2.84, 4 Tm 2.84

DFT (GGA-PBE) results for an optimized crystal structure of NaPdO3.

Values from the calculation:
E in eV per cell: -147.064

Cell lengths 5.2581, 5.2581, 15.3653 Å; angles 90.00, 90.00, 120.00 degrees
Last column: nearest neighbours and their distance in Å.
Space group R-3 (No. 148, hexagonal axes)
Symmetry-distinct sites (fractional):
Na (0.0000, 0.0000, 0.1406) (multiplicity 6)  6 O 2.25-2.46
Pd (0.0000, 0.0000, 0.3363) (multiplicity 6)  6 O 1.99
O (0.0080, 0.6261, 0.9277) (multiplicity 18)  2 Pd 1.99

What did the sixth record say?
DFT (GGA-PBE) results for an optimized crystal structure of NaPdO3.

Values from the calculation:
E in eV per cell: -147.064

Cell lengths 5.2581, 5.2581, 15.3653 Å; angles 90.00, 90.00, 120.00 degrees
Last column: nearest neighbours and their distance in Å.
Space group R-3 (No. 148, hexagonal axes)
Symmetry-distinct sites (fractional):
Na (0.0000, 0.0000, 0.1406) (multiplicity 6)  6 O 2.25-2.46
Pd (0.0000, 0.0000, 0.3363) (multiplicity 6)  6 O 1.99
O (0.0080, 0.6261, 0.9277) (multiplicity 18)  2 Pd 1.99

Please write out number 5 again, unchanged.
DFT (GGA-PBE) results for an optimized crystal structure of TbTmFe.

Values from the calculation:
Distance to the lowest polymorph of the same formula in meV per atom: 0.0
DFT formation energy in meV/atom: 192

Cell lengths 6.5669, 6.5669, 6.5669 Å; angles 90.00, 90.00, 90.00 degrees
Last column: nearest neighbours and their distance in Å.
Space group F-43m (No. 216)
Symmetry-distinct sites (fractional):
Tb (0.0000, 0.0000, 0.0000) (multiplicity 4)  4 Fe 2.84
Tm (0.0000, 0.0000, 0.5000) (multiplicity 4)  4 Fe 2.84
Fe (0.2500, 0.2500, 0.2500) (multiplicity 4)  4 Tb 2.84, 4 Tm 2.84